! LiNi2Pb2 (PBE-GGA, optimized geometry); values from VASP
&SYSTEM
  ibrav = 0, nat = 10, ntyp = 3
/
ATOMIC_SPECIES
Li 6.94 Li.upf
Ni 58.69 Ni.upf
Pb 207.20 Pb.upf
ATOMIC_POSITIONS angstrom
Li 0.0000 0.0000 0.0000
Li 3.5918 3.5918 0.0000
Ni 0.8978 2.6939 0.0000
Ni 2.6939 6.2857 0.0000
Ni 4.4896 0.8978 0.0000
Ni 6.2857 4.4896 0.0000
Pb 1.2383 4.8301 1.7730
Pb 2.3535 1.2383 1.7730
Pb 4.8301 5.9452 1.7730
Pb 5.9452 2.3535 1.7730
CELL_PARAMETERS angstrom
7.1836 0.0000 0.0000
0.0000 7.1836 0.0000
0.0000 0.0000 3.5460
! Symmetry ... P4/mbm (127)
! V ... 18.30 Å³/atom
! Energy relative to the elements ... 0.042 eV per atom
! Total DFT energy (no corrections) ... -41.37 eV per cell
! Energy relative to the lowest polymorph listed for this composition ... 0 meV per atom
! M_tot ... 0.00 μB/cell